A relaxed ScCd2Mo crystal, computed with PBE-GGA.

It has space group Cm (No. 8), with a = 9.897 Å, b = 2.983 Å, c = 5.388 Å, α = 90.00°, β = 99.63° and γ = 90.00°. The inequivalent atoms are Sc at (0.000, 0.000, 0.000), Cd at (0.242, 0.000, 0.713), Cd at (0.489, 0.000, 0.476) and Mo at (0.240, 0.500, 0.204).

For the density of states at the Fermi level, the calculation gives 5.5 states/eV/cell. As for the formation enthalpy at 0 K: 72.8 kJ/mol of formula units. The value obtained for the density is 7.75 g/cm³. The relative energy among the computed polymorphs comes out at 0.091 eV per atom.


A relaxed Sc2Cd2Mo crystal, computed with PBE-GGA.

It has space group I4/mmm (No. 139), with a = 3.991 Å, b = 3.991 Å, c = 13.533 Å, α = 90.00°, β = 90.00° and γ = 90.00°. The inequivalent atoms are Sc at (0.000, 0.500, 0.250), Cd at (0.000, 0.000, 0.095) and Mo at (0.000, 0.000, 0.500).

For the density of states at the Fermi level, the calculation gives 16.0 states/eV/cell. As for the formation enthalpy at 0 K: 344.6 kJ/mol of formula units. The value obtained for the density is 6.33 g/cm³. The relative energy among the computed polymorphs comes out at 0.437 eV per atom.


A relaxed ScCd2Mo crystal, computed with PBE-GGA.

It has space group C2/m (No. 12), with a = 10.417 Å, b = 2.950 Å, c = 5.172 Å, α = 90.00°, β = 99.10° and γ = 90.00°. The inequivalent atoms are Sc at (0.000, 0.000, 0.000), Cd at (0.245, 0.000, 0.740) and Mo at (0.000, 0.500, 0.500).

For the density of states at the Fermi level, the calculation gives 5.2 states/eV/cell. As for the formation enthalpy at 0 K: 76.5 kJ/mol of formula units. The value obtained for the density is 7.74 g/cm³. The relative energy among the computed polymorphs comes out at 0.100 eV per atom.


A relaxed Sc2CdMo crystal, computed with PBE-GGA.

It has space group Cm (No. 8), with a = 10.318 Å, b = 3.011 Å, c = 5.295 Å, α = 90.00°, β = 98.98° and γ = 90.00°. The inequivalent atoms are Sc at (0.000, 0.000, 0.000), Sc at (0.220, 0.000, 0.667), Cd at (0.470, 0.000, 0.470) and Mo at (0.242, 0.500, 0.160).

For the density of states at the Fermi level, the calculation gives 6.5 states/eV/cell. As for the formation enthalpy at 0 K: 38.0 kJ/mol of formula units. The value obtained for the density is 6.10 g/cm³.


A relaxed Sc3CdMo crystal, computed with PBE-GGA.

It has space group Pm-3m (No. 221), with a = 5.198 Å, b = 5.198 Å, c = 5.198 Å, α = 90.00°, β = 90.00° and γ = 90.00°. The inequivalent atoms are Sc at (0.000, 0.000, 0.500), Cd at (0.000, 0.000, 0.000) and Mo at (0.500, 0.500, 0.500).

For the density of states at the Fermi level, the calculation gives 8.5 states/eV/cell. As for the formation enthalpy at 0 K: 560.3 kJ/mol of formula units. The value obtained for the density is 4.06 g/cm³. The relative energy among the computed polymorphs comes out at 0.767 eV per atom.


A relaxed Sc2CdMo crystal, computed with PBE-GGA.

It has space group P2/m (No. 10), with a = 3.264 Å, b = 3.449 Å, c = 7.230 Å, α = 90.00°, β = 90.12° and γ = 90.00°. The inequivalent atoms are Sc at (0.000, 0.000, 0.219), Cd at (0.500, 0.500, 0.500) and Mo at (0.500, 0.500, 0.000).

For the density of states at the Fermi level, the calculation gives 4.0 states/eV/cell. As for the formation enthalpy at 0 K: -25.0 kJ/mol of formula units. The value obtained for the density is 6.08 g/cm³.